Crystalline ScSb2RuI at its relaxed geometry. Source: the Alexandria database, functional PBE.

Calculated values
**Formation energy without anion corrections**: 0.359 eV per atom
**Energy above the lowest structure with this stoichiometry**: 0.0 meV per atom
**Calculated volume**: 28.59 Å³/atom
**Magnetization**: 0.0 μB/f.u.

a = 5.0772 Å, b = 5.0772 Å, c = 5.5445 Å
α = 90.00°, β = 90.00°, γ = 90.00°
Sites, in units of the cell vectors:
Sb 0.5000 0.0000 0.0000
Sb 0.0000 0.5000 0.0000
Ru 0.0000 0.0000 0.0000
I 0.0000 0.0000 0.5000
Sc 0.5000 0.5000 0.5000



Crystalline ScSbRuI2 at its relaxed geometry. Source: the Alexandria database, functional PBE.

Calculated values
**Formation energy without anion corrections**: 0.387 eV per atom
**Energy above the lowest structure with this stoichiometry**: 0.0 meV per atom
**Calculated volume**: 29.77 Å³/atom
**Magnetization**: 0.9 μB/f.u.

a = 5.4043 Å, b = 5.4043 Å, c = 5.0957 Å
α = 90.00°, β = 90.00°, γ = 90.00°
Site moments in Bohr magnetons follow the coordinates.
Sites, in units of the cell vectors:
Sc 0.5000 0.5000 0.5000  0.56
Sb 0.0000 0.0000 0.5000  -0.02
I 0.5000 0.0000 0.0000  -0.01
I 0.0000 0.5000 0.0000  -0.01
Ru 0.0000 0.0000 0.0000  0.12



Crystalline SbRuSeI2 at its relaxed geometry. Source: the Alexandria database, functional PBE.

Calculated values
**Formation energy without anion corrections**: 0.563 eV per atom
**Energy above the lowest structure with this stoichiometry**: 0.0 meV per atom
**Calculated volume**: 29.19 Å³/atom
**Magnetization**: 0.0 μB/f.u.

a = 5.3274 Å, b = 5.3274 Å, c = 5.1424 Å
α = 90.00°, β = 90.00°, γ = 90.00°
Sites, in units of the cell vectors:
I 0.0000 0.5000 0.0000
I 0.5000 0.0000 0.0000
Sb 0.0000 0.0000 0.5000
Se 0.5000 0.5000 0.5000
Ru 0.0000 0.0000 0.0000



Crystalline Sb2RuSeI at its relaxed geometry. Source: the Alexandria database, functional PBE.

Calculated values
**Formation energy without anion corrections**: 0.481 eV per atom
**Energy above the lowest structure with this stoichiometry**: 0.0 meV per atom
**Calculated volume**: 28.10 Å³/atom
**Magnetization**: 0.0 μB/f.u.

a = 5.1162 Å, b = 5.1162 Å, c = 5.3675 Å
α = 90.00°, β = 90.00°, γ = 90.00°
Sites, in units of the cell vectors:
Ru 0.0000 0.0000 0.0000
Sb 0.0000 0.5000 0.0000
Sb 0.5000 0.0000 0.0000
I 0.0000 0.0000 0.5000
Se 0.5000 0.5000 0.5000



Crystalline Sb2RuSeI at its relaxed geometry. Source: the Alexandria database, functional PBE.

Calculated values
**Formation energy without anion corrections**: 1.375 eV per atom
**Energy above the lowest structure with this stoichiometry**: 894.7 meV per atom
**Calculated volume**: 32.50 Å³/atom
**Magnetization**: 2.3 μB/f.u.

a = 5.3761 Å, b = 5.3761 Å, c = 5.6226 Å
α = 90.00°, β = 90.00°, γ = 90.00°
Site moments in Bohr magnetons follow the coordinates.
Sites, in units of the cell vectors:
Ru 0.5000 0.5000 0.5000  2.45
Sb 0.0000 0.5000 0.0000  -0.09
Sb 0.5000 0.0000 0.0000  -0.09
I 0.0000 0.0000 0.5000  0.01
Se 0.0000 0.0000 0.0000  -0.02



Crystalline SbRuSeI2 at its relaxed geometry. Source: the Alexandria database, functional PBE.

Calculated values
**Formation energy without anion corrections**: 1.328 eV per atom
**Energy above the lowest structure with this stoichiometry**: 764.8 meV per atom
**Calculated volume**: 35.89 Å³/atom
**Magnetization**: 3.7 μB/f.u.

a = 5.7464 Å, b = 5.7464 Å, c = 5.4338 Å
α = 90.00°, β = 90.00°, γ = 90.00°
Site moments in Bohr magnetons follow the coordinates.
Sites, in units of the cell vectors:
I 0.0000 0.5000 0.0000  0.06
I 0.5000 0.0000 0.0000  0.06
Se 0.0000 0.0000 0.0000  -0.03
Sb 0.0000 0.0000 0.5000  0.16
Ru 0.5000 0.5000 0.5000  2.78



Crystalline SnSbRuI2 at its relaxed geometry. Source: the Alexandria database, functional PBE.

Calculated values
**Formation energy without anion corrections**: 0.419 eV per atom
**Energy above the lowest structure with this stoichiometry**: 0.0 meV per atom
**Calculated volume**: 30.68 Å³/atom
**Magnetization**: 0.0 μB/f.u.

a = 5.5149 Å, b = 5.5149 Å, c = 5.0441 Å
α = 90.00°, β = 90.00°, γ = 90.00°
Sites, in units of the cell vectors:
I 0.5000 0.0000 0.0000
I 0.0000 0.5000 0.0000
Ru 0.0000 0.0000 0.0000
Sb 0.0000 0.0000 0.5000
Sn 0.5000 0.5000 0.5000



Crystalline SnSbRuI2 at its relaxed geometry. Source: the Alexandria database, functional PBE.

Calculated values
**Formation energy without anion corrections**: 1.233 eV per atom
**Energy above the lowest structure with this stoichiometry**: 813.9 meV per atom
**Calculated volume**: 41.02 Å³/atom
**Magnetization**: 4.4 μB/f.u.

a = 5.9056 Å, b = 5.9056 Å, c = 5.8803 Å
α = 90.00°, β = 90.00°, γ = 90.00°
Site moments in Bohr magnetons follow the coordinates.
Sites, in units of the cell vectors:
I 0.5000 0.0000 0.0000  0.08
I 0.0000 0.5000 0.0000  0.08
Sn 0.0000 0.0000 0.0000  -0.01
Ru 0.5000 0.5000 0.5000  2.83
Sb 0.0000 0.0000 0.5000  0.33



Crystalline SrSb2RuI at its relaxed geometry. Source: the Alexandria database, functional PBE.

Calculated values
**Formation energy without anion corrections**: 1.350 eV per atom
**Energy above the lowest structure with this stoichiometry**: 1525.0 meV per atom
**Calculated volume**: 45.10 Å³/atom
**Magnetization**: 2.5 μB/f.u.

a = 6.1141 Å, b = 6.1141 Å, c = 6.0322 Å
α = 90.00°, β = 90.00°, γ = 90.00°
Site moments in Bohr magnetons follow the coordinates.
Sites, in units of the cell vectors:
Sr 0.0000 0.0000 0.0000  0.00
Ru 0.5000 0.5000 0.5000  2.78
I 0.0000 0.0000 0.5000  -0.02
Sb 0.5000 0.0000 0.0000  -0.12
Sb 0.0000 0.5000 0.0000  -0.12



Crystalline SrSb2RuI at its relaxed geometry. Source: the Alexandria database, functional PBE.

Calculated values
**Formation energy without anion corrections**: -0.175 eV per atom
**Energy above the lowest structure with this stoichiometry**: 0.0 meV per atom
**Calculated volume**: 31.15 Å³/atom
**Magnetization**: 0.0 μB/f.u.

a = 5.1165 Å, b = 5.1165 Å, c = 5.9489 Å
α = 90.00°, β = 90.00°, γ = 90.00°
Sites, in units of the cell vectors:
Sb 0.0000 0.5000 0.0000
Sb 0.5000 0.0000 0.0000
Sr 0.5000 0.5000 0.5000
I 0.0000 0.0000 0.5000
Ru 0.0000 0.0000 0.0000



Crystalline TaSb2RuI at its relaxed geometry. Source: the Alexandria database, functional PBE.

Calculated values
**Formation energy without anion corrections**: 1.195 eV per atom
**Energy above the lowest structure with this stoichiometry**: 0.0 meV per atom
**Calculated volume**: 27.43 Å³/atom
**Magnetization**: 2.8 μB/f.u.

a = 5.0312 Å, b = 5.0312 Å, c = 5.4174 Å
α = 90.00°, β = 90.00°, γ = 90.00°
Site moments in Bohr magnetons follow the coordinates.
Sites, in units of the cell vectors:
Ta 0.5000 0.5000 0.5000  1.84
Ru 0.0000 0.0000 0.0000  0.15
Sb 0.5000 0.0000 0.0000  -0.03
Sb 0.0000 0.5000 0.0000  -0.03
I 0.0000 0.0000 0.5000  -0.06



Crystalline TaSbRuI2 at its relaxed geometry. Source: the Alexandria database, functional PBE.

Calculated values
**Formation energy without anion corrections**: 1.286 eV per atom
**Energy above the lowest structure with this stoichiometry**: 0.0 meV per atom
**Calculated volume**: 28.42 Å³/atom
**Magnetization**: 2.7 μB/f.u.

a = 5.2973 Å, b = 5.2973 Å, c = 5.0632 Å
α = 90.00°, β = 90.00°, γ = 90.00°
Site moments in Bohr magnetons follow the coordinates.
Sites, in units of the cell vectors:
I 0.0000 0.5000 0.0000  -0.07
I 0.5000 0.0000 0.0000  -0.07
Ru 0.0000 0.0000 0.0000  0.01
Ta 0.5000 0.5000 0.5000  1.92
Sb 0.0000 0.0000 0.5000  -0.07